(1)
DFT (PBE) results for a relaxed structure of PaGa4Pb.

```
data_PaGa4Pb
_cell_length_a 7.929
_cell_length_b 7.929
_cell_length_c 7.929
_cell_angle_alpha 90.00
_cell_angle_beta 90.00
_cell_angle_gamma 90.00
_space_group_name_H-M_alt 'F -4 3 m'
_space_group_IT_number 216
_space_group_name_Hall 'F -4 2 3'
loop_
_atom_site_label
_atom_site_type_symbol
_atom_site_fract_x
_atom_site_fract_y
_atom_site_fract_z
Pa1 Pa 0.000 0.000 0.000
Ga1 Ga 0.125 0.125 0.375
Pb1 Pb 0.250 0.250 0.750
```

- magnetization (Bohr magnetons per cell) = 2.8
- electronic total energy (eV/atom) = -4.237
- ΔH_f (0 K) (eV per atom) = -0.02

***

(2)
DFT (PBE) results for a relaxed structure of PaGaPb.

```
data_PaGaPb
_cell_length_a 5.1789
_cell_length_b 5.1789
_cell_length_c 3.1458
_cell_angle_alpha 90.00
_cell_angle_beta 90.00
_cell_angle_gamma 120.00
_space_group_name_H-M_alt 'P -6 m 2'
_space_group_IT_number 187
_space_group_name_Hall 'P -6 2'
loop_
_atom_site_label
_atom_site_type_symbol
_atom_site_fract_x
_atom_site_fract_y
_atom_site_fract_z
Pa1 Pa 0.0000 0.0000 0.0000
Ga1 Ga 0.3333 0.6667 0.5000
Pb1 Pb 0.6667 0.3333 0.5000
```

- polymorph energy (0 for the lowest one) (eV/atom) = 0.005
- magnetization (Bohr magnetons per cell) = 1.2
- electronic total energy (eV/atom) = -5.311
- ΔH_f (0 K) (eV per atom) = 0.10

***

(3)
DFT (PBE) results for a relaxed structure of PaGa2Pb.

```
data_PaGa2Pb
_cell_length_a 4.556
_cell_length_b 4.556
_cell_length_c 4.329
_cell_angle_alpha 90.00
_cell_angle_beta 90.00
_cell_angle_gamma 90.00
_space_group_name_H-M_alt 'P 4/m m m'
_space_group_IT_number 123
_space_group_name_Hall '-P 4 2'
loop_
_atom_site_label
_atom_site_type_symbol
_atom_site_fract_x
_atom_site_fract_y
_atom_site_fract_z
Pa1 Pa 0.000 0.000 0.000
Ga1 Ga 0.000 0.500 0.500
Pb1 Pb 0.500 0.500 0.000
```

- polymorph energy (0 for the lowest one) (eV/atom) = 0.000
- magnetization (Bohr magnetons per cell) = 0.0
- electronic total energy (eV/atom) = -5.021
- ΔH_f (0 K) (eV per atom) = -0.21

***

(4)
DFT (PBE) results for a relaxed structure of PaGaPb.

```
data_PaGaPb
_cell_length_a 4.485
_cell_length_b 4.485
_cell_length_c 7.711
_cell_angle_alpha 90.00
_cell_angle_beta 90.00
_cell_angle_gamma 90.00
_space_group_name_H-M_alt 'P 4/n m m'
_space_group_IT_number 129
loop_
_space_group_symop_operation_xyz
'x,y,z'
'-x,-y,-z'
'-y+1/2,x,z'
'y+1/2,-x,-z'
'-x+1/2,-y+1/2,z'
'x+1/2,y+1/2,-z'
'y,-x+1/2,z'
'-y,x+1/2,-z'
'x+1/2,-y,-z'
'-x+1/2,y,z'
'-y,-x,-z'
'y,x,z'
'-x,y+1/2,-z'
'x,-y+1/2,z'
'y+1/2,x+1/2,-z'
'-y+1/2,-x+1/2,z'
loop_
_atom_site_label
_atom_site_type_symbol
_atom_site_fract_x
_atom_site_fract_y
_atom_site_fract_z
Pa1 Pa 0.250 0.250 0.238
Ga1 Ga 0.250 0.750 0.500
Pb1 Pb 0.250 0.250 0.825
```

- polymorph energy (0 for the lowest one) (eV/atom) = 0.016
- magnetization (Bohr magnetons per cell) = 0.0
- electronic total energy (eV/atom) = -5.300
- ΔH_f (0 K) (eV per atom) = 0.11

***

(5)
DFT (PBE) results for a relaxed structure of PaGa7Pd2.

```
data_PaGa7Pd2
_cell_length_a 8.990
_cell_length_b 15.236
_cell_length_c 2.949
_cell_angle_alpha 90.00
_cell_angle_beta 90.00
_cell_angle_gamma 90.00
_space_group_name_H-M_alt 'C m m m'
_space_group_IT_number 65
_space_group_name_Hall '-C 2 2'
loop_
_atom_site_label
_atom_site_type_symbol
_atom_site_fract_x
_atom_site_fract_y
_atom_site_fract_z
Pa1 Pa 0.000 0.000 0.000
Ga1 Ga 0.000 0.203 0.000
Ga2 Ga 0.000 0.500 0.500
Ga3 Ga 0.233 0.113 0.500
Pd1 Pd 0.000 0.337 0.500
```

- magnetization (Bohr magnetons per cell) = 0.7
- electronic total energy (eV/atom) = -4.269
- ΔH_f (0 K) (eV per atom) = -0.16

***

(6)
DFT (PBE) results for a relaxed structure of Pa3Ga4Pd4.

```
data_Pa3Ga4Pd4
_cell_length_a 4.245
_cell_length_b 6.876
_cell_length_c 14.435
_cell_angle_alpha 90.00
_cell_angle_beta 90.00
_cell_angle_gamma 90.00
_space_group_name_H-M_alt 'I m m m'
_space_group_IT_number 71
_space_group_name_Hall '-I 2 2'
loop_
_atom_site_label
_atom_site_type_symbol
_atom_site_fract_x
_atom_site_fract_y
_atom_site_fract_z
Pa1 Pa 0.000 0.000 0.000
Pa2 Pa 0.000 0.500 0.127
Ga1 Ga 0.000 0.305 0.330
Pd1 Pd 0.000 0.000 0.215
Pd2 Pd 0.000 0.202 0.500
```

- magnetization (Bohr magnetons per cell) = 0.0
- electronic total energy (eV/atom) = -6.162
- ΔH_f (0 K) (eV per atom) = -0.58

***

(7)
DFT (PBE) results for a relaxed structure of PaGaPd.

```
data_PaGaPd
_cell_length_a 7.053
_cell_length_b 4.235
_cell_length_c 11.880
_cell_angle_alpha 90.00
_cell_angle_beta 90.48
_cell_angle_gamma 90.00
_space_group_name_H-M_alt 'P 1 21/m 1'
_space_group_IT_number 11
loop_
_space_group_symop_operation_xyz
'x,y,z'
'-x,-y,-z'
'-x,y+1/2,-z'
'x,-y+1/2,z'
loop_
_atom_site_label
_atom_site_type_symbol
_atom_site_fract_x
_atom_site_fract_y
_atom_site_fract_z
Pa1 Pa 0.002 0.250 0.302
Pa2 Pa 0.382 0.250 0.070
Pa3 Pa 0.485 0.250 0.375
Ga1 Ga 0.021 0.750 0.085
Ga2 Ga 0.187 0.750 0.453
Ga3 Ga 0.342 0.250 0.793
Pd1 Pd 0.209 0.750 0.899
Pd2 Pd 0.210 0.250 0.578
Pd3 Pd 0.283 0.750 0.239
```

- magnetization (Bohr magnetons per cell) = 0.0
- electronic total energy (eV/atom) = -6.471
- ΔH_f (0 K) (eV per atom) = -0.57

***

(8)
DFT (PBE) results for a relaxed structure of Pa5GaPd.

```
data_Pa5GaPd
_cell_length_a 10.653
_cell_length_b 6.221
_cell_length_c 10.357
_cell_angle_alpha 90.00
_cell_angle_beta 104.74
_cell_angle_gamma 90.00
_space_group_name_H-M_alt 'C 1 2/c 1'
_space_group_IT_number 15
loop_
_space_group_symop_operation_xyz
'x,y,z'
'-x,-y,-z'
'-x,y,-z+1/2'
'x,-y,z+1/2'
'x+1/2,y+1/2,z'
'-x+1/2,-y+1/2,-z'
'-x+1/2,y+1/2,-z+1/2'
'x+1/2,-y+1/2,z+1/2'
loop_
_atom_site_label
_atom_site_type_symbol
_atom_site_fract_x
_atom_site_fract_y
_atom_site_fract_z
Pa1 Pa 0.000 0.101 0.250
Pa2 Pa 0.085 0.249 0.017
Pa3 Pa 0.235 0.120 0.750
Ga1 Ga 0.000 0.426 0.750
Pd1 Pd 0.250 0.250 0.500
```

- magnetization (Bohr magnetons per cell) = 0.0
- electronic total energy (eV/atom) = -7.910
- ΔH_f (0 K) (eV per atom) = 0.05